[1]
8
Lattice="-3.2790 3.2790 6.3458 3.2790 -3.2790 6.3458 3.2790 3.2790 -6.3458" Properties=species:S:1:pos:R:3 comment="Rb2Cd5Ga, relaxed, DFT PBE-GGA" delta_e_f_kj_per_mol_atoms=-2 magnetic_moment_mub_per_fu=0.00 pbc="T T T"
Rb 3.2790 0.0000 0.0000
Rb 0.0000 3.2790 0.0000
Cd 1.6379 1.6379 -3.0986
Cd 1.6412 -1.6412 3.2472
Cd 0.0000 0.0000 1.4491
Cd -1.6412 1.6412 3.2472
Cd 1.6412 1.6412 3.2472
Ga 0.0000 0.0000 11.2020

***

[2]
16
Lattice="2.3614 -6.5335 0.0000 2.3614 6.5335 0.0000 -1.9999 0.0000 7.0483" Properties=species:S:1:pos:R:3 comment="Co3Rh5, relaxed, DFT PBE-GGA" delta_e_f_kj_per_mol_atoms=18 magnetic_moment_mub_per_fu=10.01 pbc="T T T"
Co 2.3614 4.3441 0.0000
Co 1.3615 3.1103 3.5241
Co 0.5492 0.0000 4.5435
Co 2.1738 0.0000 2.5047
Co 1.3615 -3.1103 3.5241
Co 2.3614 -4.3441 0.0000
Rh -0.0871 1.3274 2.4335
Rh -0.0871 -1.3274 2.4335
Rh -0.8006 0.0000 6.7491
Rh 0.3797 2.3317 5.6516
Rh 2.3432 2.3317 1.3967
Rh 0.3797 -2.3317 5.6516
Rh 2.3432 -2.3317 1.3967
Rh 3.5235 0.0000 0.2991
Rh 2.8100 1.3274 4.6147
Rh 2.8100 -1.3274 4.6147

***

[3]
4
Lattice="-1.7579 2.0755 6.7061 1.7579 -2.0755 6.7061 1.7579 2.0755 -6.7061" Properties=species:S:1:pos:R:3 comment="SiSb2Se, relaxed, DFT PBE-GGA" raw_formation_energy_mev_per_atom=272.6 magnetic_moment_mub_per_fu=0.00 polymorph_energy_mev_per_atom=191.9 pbc="T T T"
Si 0.0000 0.0000 0.0000
Sb 1.7579 0.0000 2.5364
Sb 0.0000 2.0755 4.1697
Se 0.0000 0.0000 6.7061

***

[4]
4
Lattice="-2.1369 2.1369 4.7650 2.1369 -2.1369 4.7650 2.1369 2.1369 -4.7650" Properties=species:S:1:pos:R:3 comment="CaZr2Pt, relaxed, DFT PBE-GGA" delta_e_f_kj_per_mol_atoms=-7 magnetic_moment_mub_per_fu=0.73 polymorph_energy_mev_per_atom=389.0 pbc="T T T"
Ca 0.0000 0.0000 0.0000
Zr 0.0000 0.0000 4.7650
Zr 0.0000 2.1369 2.3825
Pt 2.1369 0.0000 2.3825

***

[5]
5
Lattice="4.1812 0.0000 0.0000 0.0000 4.1812 0.0000 0.0000 0.0000 4.6610" Properties=species:S:1:pos:R:3 comment="FeP2WS, relaxed, DFT PBE-GGA" raw_formation_energy_mev_per_atom=1003.8 magnetic_moment_mub_per_fu=2.75 polymorph_energy_mev_per_atom=160.2 pbc="T T T"
Fe 0.0000 0.0000 0.0000
P 0.0000 2.0906 0.0000
P 2.0906 0.0000 0.0000
W 2.0906 2.0906 2.3305
S 0.0000 0.0000 2.3305

***

[6]
18
Lattice="5.5689 0.0000 0.0000 0.0000 6.6942 0.0000 -5.5316 0.0000 8.9195" Properties=species:S:1:pos:R:3 comment="Hf6Fe2Co, relaxed, DFT PBE-GGA" delta_e_f_kj_per_mol_atoms=-8 magnetic_moment_mub_per_fu=0.00 pbc="T T T"
Hf -0.9198 0.3763 2.1859
Hf -3.6856 2.9708 6.6457
Hf 0.8082 4.7012 0.6027
Hf -1.9576 5.3400 5.0624
Hf 1.8701 1.0413 0.5454
Hf -0.8957 2.3058 5.0052
Hf 0.9330 4.3884 3.9143
Hf -1.8328 5.6528 8.3741
Hf 1.9948 1.3541 3.8571
Hf -0.7710 1.9929 8.3168
Hf 3.7228 3.7233 2.2738
Hf 0.9570 6.3179 6.7336
Fe -2.2951 0.7362 6.4958
Fe 0.4707 2.6109 2.0361
Fe -0.4335 4.0832 6.8834
Fe 2.3323 5.9580 2.4237
Co 0.0186 0.0000 4.4597
Co 2.7844 3.3471 0.0000

***

[7]
4
Lattice="5.2946 0.0000 0.0000 0.0000 5.2946 0.0000 0.0000 0.0000 5.2946" Properties=species:S:1:pos:R:3 comment="TaAg3, relaxed, DFT PBE-GGA" delta_e_f_kj_per_mol_atoms=179 magnetic_moment_mub_per_fu=0.00 pbc="T T T"
Ta 0.0000 0.0000 0.0000
Ag 0.0000 0.0000 2.6473
Ag 0.0000 2.6473 0.0000
Ag 2.6473 0.0000 0.0000

***

[8]
9
Lattice="7.3422 -4.4081 0.0000 7.3422 4.4081 0.0000 -0.9213 0.0000 7.2709" Properties=species:S:1:pos:R:3 comment="Ba4Na2Sr2Pt, relaxed, DFT PBE-GGA" delta_e_f_kj_per_mol_atoms=-23 magnetic_moment_mub_per_fu=0.00 pbc="T T T"
Ba 5.2430 2.2343 5.1288
Ba 8.5201 2.2343 2.1421
Ba 5.2430 -2.2343 5.1288
Ba 8.5201 -2.2343 2.1421
Na 4.9318 0.0000 1.6054
Na 8.8313 0.0000 5.6655
Sr 1.5278 0.0000 5.8453
Sr 12.2352 0.0000 1.4256
Pt -0.4607 0.0000 3.6354

***

[9]
8
Lattice="5.1726 0.0000 0.0000 0.0000 5.1726 0.0000 0.0000 0.0000 10.3032" Properties=species:S:1:pos:R:3 comment="La4Nd2SmMg, relaxed, DFT PBE-GGA" delta_e_f_kj_per_mol_atoms=0 magnetic_moment_mub_per_fu=0.00 pbc="T T T"
La 0.0000 2.5863 2.5336
La 0.0000 2.5863 7.7696
La 2.5863 0.0000 2.5336
La 2.5863 0.0000 7.7696
Nd 0.0000 0.0000 0.0000
Nd 2.5863 2.5863 5.1516
Sm 0.0000 0.0000 5.1516
Mg 2.5863 2.5863 0.0000

***

[10]
6
Lattice="2.9642 0.0000 0.0000 0.0000 4.6827 0.0000 0.0000 0.0000 7.8635" Properties=species:S:1:pos:R:3 comment="Li4HgGe, relaxed, DFT PBE-GGA" delta_e_f_kj_per_mol_atoms=-23 magnetic_moment_mub_per_fu=0.00 polymorph_energy_mev_per_atom=43.2 pbc="T T T"
Li 0.0000 0.0000 1.3453
Li 0.0000 0.0000 6.5182
Li 1.4821 2.3413 2.2565
Li 1.4821 2.3413 5.6070
Hg 1.4821 0.0000 3.9318
Ge 0.0000 2.3413 0.0000

***

[11]
11
Lattice="4.2158 -6.6528 0.0000 4.2158 6.6528 0.0000 -1.1652 0.0000 4.6117" Properties=species:S:1:pos:R:3 comment="Ce8Co2Si, relaxed, DFT PBE-GGA" raw_formation_energy_mev_per_atom=-154.2 magnetic_moment_mub_per_fu=0.00 pbc="T T T"
Ce 0.0000 0.0000 0.0000
Ce 1.1610 1.4216 3.0276
Ce 3.2698 3.3216 1.0095
Ce 1.1610 -1.4216 3.0276
Ce 3.9178 1.4140 3.6417
Ce 3.2698 -3.3216 1.0095
Ce 3.9178 -1.4140 3.6417
Ce 6.2719 0.0000 1.9173
Co 2.4518 4.0354 3.1082
Co 2.4518 -4.0354 3.1082
Si 3.1226 0.0000 1.0245

***

[12]
10
Lattice="2.5251 -6.6682 0.0000 2.5251 6.6682 0.0000 0.0000 0.0000 7.4549" Properties=species:S:1:pos:R:3 comment="BaCaBiF2, relaxed, DFT PBE-GGA" raw_formation_energy_mev_per_atom=-2544.2 magnetic_moment_mub_per_fu=0.00 pbc="T T T"
Ba 2.5251 3.6498 5.5912
Ba 2.5251 -3.6498 1.8637
Ca 2.5251 0.0000 0.0000
Ca 2.5251 0.0000 3.7275
Bi 2.5251 6.0439 1.8637
Bi 2.5251 -6.0439 5.5912
F 2.5251 2.2515 0.3884
F 2.5251 2.2515 3.3391
F 2.5251 -2.2515 4.1158
F 2.5251 -2.2515 7.0666